Version 1
Here is an optimized crystal structure of SrSn3Sb from Alexandria via LeMat-Bulk. Energies are from PBE-GGA.

extended XYZ file:
```
5
Lattice="-3.203 4.997 -0.218 -3.082 -2.176 -4.587 -3.939 -2.360 3.767" Properties=species:S:1:pos:R:3 pbc="T T T"
Sn -1.969 -1.180 1.883
Sb -5.112 0.230 -0.519
Sn -1.601 2.498 -0.109
Sn -1.541 -1.088 -2.293
Sr 0.000 0.000 0.000
```

Results
Symmetry = Pm-3m (221)

***

Version 2
Here is an optimized crystal structure of SrSn3Sb from Alexandria via LeMat-Bulk. Energies are from PBE-GGA.

extended XYZ file:
```
5
Lattice="5.776 0.000 0.000 0.000 5.776 0.000 0.000 0.000 5.776" Properties=species:S:1:pos:R:3 pbc="T T T"
Sr 2.888 2.888 2.888
Sb 0.000 0.000 0.000
Sn 2.888 0.000 0.000
Sn 0.000 2.888 0.000
Sn 0.000 0.000 2.888
```

Results
Symmetry = Pm-3m (221)

***

Verdict on stability: version 2 comes out on top.

***

Version 1
Here is an optimized crystal structure of SrSnSb3 from Alexandria via LeMat-Bulk. Energies are from PBE-GGA.

extended XYZ file:
```
5
Lattice="-3.681 -0.460 -4.628 4.065 -3.187 -2.916 -2.260 -4.981 2.293" Properties=species:S:1:pos:R:3 pbc="T T T"
Sb 2.032 -1.593 -1.458
Sb -1.841 -0.230 -2.314
Sn -0.938 -4.314 -2.626
Sr 0.000 0.000 0.000
Sb -1.130 -2.491 1.147
```

Results
Symmetry = Pm-3m (221)

***

Version 2
Here is an optimized crystal structure of SrSnSb3 from Alexandria via LeMat-Bulk. Energies are from PBE-GGA.

extended XYZ file:
```
5
Lattice="5.699 0.000 0.000 0.000 5.699 0.000 0.000 0.000 5.699" Properties=species:S:1:pos:R:3 pbc="T T T"
Sb 2.849 0.000 0.000
Sb 0.000 2.849 0.000
Sb 0.000 0.000 2.849
Sr 2.849 2.849 2.849
Sn 0.000 0.000 0.000
```

Results
Symmetry = Pm-3m (221)

***

Verdict on stability: version 2 comes out on top.

***

Version 1
Here is an optimized crystal structure of SrSnSb2Te from Alexandria via LeMat-Bulk. Energies are from PBE-GGA.

extended XYZ file:
```
5
Lattice="-5.563 -1.878 -1.163 -0.059 -3.106 5.300 -2.209 4.811 2.795" Properties=species:S:1:pos:R:3 pbc="T T T"
Sb -1.104 2.405 1.397
Sb -2.782 -0.939 -0.582
Sn -0.030 -1.553 2.650
Te -3.916 -0.087 3.466
Sr 0.000 0.000 0.000
```

Results
Symmetry = P4/mmm (123)

***

Version 2
Here is an optimized crystal structure of SrSnSb2Te from Alexandria via LeMat-Bulk. Energies are from PBE-GGA.

extended XYZ file:
```
5
Lattice="-0.464 -5.918 -0.609 5.649 -0.629 1.816 -1.880 -0.439 5.698" Properties=species:S:1:pos:R:3 pbc="T T T"
Te -0.940 -0.219 2.849
Sb 2.824 -0.315 0.908
Sb -0.232 -2.959 -0.304
Sr 0.000 0.000 0.000
Sn 1.652 -3.493 3.452
```

Results
Symmetry = P4/mmm (123)

***

Version 3
Here is an optimized crystal structure of SrSnSb2Te from Alexandria via LeMat-Bulk. Energies are from PBE-GGA.

extended XYZ file:
```
5
Lattice="5.672 0.000 0.000 0.000 5.672 0.000 0.000 0.000 5.828" Properties=species:S:1:pos:R:3 pbc="T T T"
Sb 0.000 2.836 0.000
Sb 2.836 0.000 0.000
Sr 2.836 2.836 2.914
Te 0.000 0.000 2.914
Sn 0.000 0.000 0.000
```

Results
Symmetry = P4/mmm (123)

***

Verdict on stability: version 3 comes out on top.

***

Version 1
Here is an optimized crystal structure of TaSnSb2Te from Alexandria via LeMat-Bulk. Energies are from PBE-GGA.

extended XYZ file:
```
5
Lattice="5.334 0.000 0.000 0.000 5.516 0.000 0.000 0.000 5.334" Properties=species:S:1:pos:R:3 pbc="T T T"
Sb 0.000 0.000 2.667
Te 2.667 2.758 2.667
Sn 0.000 2.758 0.000
Ta 0.000 0.000 0.000
Sb 2.667 0.000 0.000
```

Results
Symmetry = P4/mmm (123)

***

Version 2
Here is an optimized crystal structure of TaSnSb2Te from Alexandria via LeMat-Bulk. Energies are from PBE-GGA.

extended XYZ file:
```
5
Lattice="5.456 0.000 0.000 0.000 5.456 0.000 0.000 0.000 5.488" Properties=species:S:1:pos:R:3 pbc="T T T"
Te 0.000 0.000 2.744
Sn 0.000 0.000 0.000
Sb 0.000 2.728 0.000
Ta 2.728 2.728 2.744
Sb 2.728 0.000 0.000
```

Results
Symmetry = P4/mmm (123)

***

Version 3
Here is an optimized crystal structure of TaSnSb2Te from Alexandria via LeMat-Bulk. Energies are from PBE-GGA.

extended XYZ file:
```
5
Lattice="5.443 0.000 0.000 0.000 5.443 0.000 0.000 0.000 5.333" Properties=species:S:1:pos:R:3 pbc="T T T"
Ta 0.000 0.000 0.000
Sb 0.000 2.721 0.000
Te 0.000 0.000 2.667
Sb 2.721 0.000 0.000
Sn 2.721 2.721 2.667
```

Results
Symmetry = P4/mmm (123)

***

Verdict on stability: version 1 comes out on top.

***

Version 1
Here is an optimized crystal structure of TcSn3Sb from Alexandria via LeMat-Bulk. Energies are from PBE-GGA.

extended XYZ file:
```
5
Lattice="5.647 0.000 0.000 0.000 5.647 0.000 0.000 0.000 5.647" Properties=species:S:1:pos:R:3 pbc="T T T"
Tc 2.824 2.824 2.824
Sn 0.000 0.000 2.824
Sn 2.824 0.000 0.000
Sb 0.000 0.000 0.000
Sn 0.000 2.824 0.000
```

Results
Symmetry = Pm-3m (221)

***

Version 2
Here is an optimized crystal structure of TcSn3Sb from Alexandria via LeMat-Bulk. Energies are from PBE-GGA.

extended XYZ file:
```
5
Lattice="-2.166 -2.567 -3.983 4.419 -2.674 -0.679 -1.710 -3.661 3.289" Properties=species:S:1:pos:R:3 pbc="T T T"
Sn -1.083 -1.283 -1.991
Sb 0.272 -4.451 -0.687
Sn -0.855 -1.830 1.644
Tc 0.000 0.000 0.000
Sn 2.209 -1.337 -0.340
```

Results
Symmetry = Pm-3m (221)

***

Verdict on stability: version 2 comes out on top.

***

Version 1
Here is an optimized crystal structure of Sn2Sb2Te from Alexandria via LeMat-Bulk. Energies are from PBE-GGA.

extended XYZ file:
```
5
Lattice="-0.193 0.522 4.334 -4.306 -0.738 -0.103 -0.962 -7.755 3.094" Properties=species:S:1:pos:R:3 pbc="T T T"
Sn -1.702 -3.670 4.772
Sb -3.466 -6.350 5.016
Sb -1.995 -1.620 2.309
Te 0.000 0.000 0.000
Sn -3.758 -4.300 2.553
```

Results
Symmetry = I4/mmm (139)

***

Version 2
Here is an optimized crystal structure of Sn2Sb2Te from Alexandria via LeMat-Bulk. Energies are from PBE-GGA.

extended XYZ file:
```
10
Lattice="-6.206 -6.029 -1.401 2.842 -4.538 6.940 -2.341 1.899 2.200" Properties=species:S:1:pos:R:3 pbc="T T T"
Sn 0.015 -2.501 2.173
Te -1.682 -5.283 2.769
Sb -0.243 -2.870 5.383
Sn -3.379 -8.066 3.365
Sb -5.462 -5.798 2.356
Sn 0.262 -5.910 5.378
Sb -2.946 -1.846 1.624
Te 0.000 0.000 0.000
Sn -3.626 -4.657 0.160
Sb -2.759 -6.822 6.115
```

Results
Symmetry = P4/mbm (127)

***

Verdict on stability: version 2 comes out on top.

***

Version 1
Here is an optimized crystal structure of Sn2Sb2Te from Alexandria via LeMat-Bulk. Energies are from PBE-GGA.

extended XYZ file:
```
5
Lattice="4.312 0.000 0.000 0.000 4.312 0.000 2.156 2.156 8.232" Properties=species:S:1:pos:R:3 pbc="T T T"
Sb 4.312 2.156 4.116
Sn 2.156 2.156 1.578
Sb 2.156 4.312 4.116
Sn 4.312 4.312 6.655
Te 0.000 0.000 0.000
```

Results
Symmetry = I4/mmm (139)

***

Version 2
Here is an optimized crystal structure of Sn2Sb2Te from Alexandria via LeMat-Bulk. Energies are from PBE-GGA.

extended XYZ file:
```
10
Lattice="-8.103 2.947 -0.290 -2.847 -7.521 3.124 0.373 1.386 3.676" Properties=species:S:1:pos:R:3 pbc="T T T"
Sb -2.277 -2.060 1.007
Sb -8.672 -2.514 1.827
Sb -5.830 0.731 0.316
Sn -7.456 -3.873 4.334
Sn -3.121 0.685 2.176
Sb -5.120 -5.304 2.519
Te -5.475 -2.287 1.417
Sn -2.787 -3.715 3.801
Te 0.000 0.000 0.000
Sn -7.790 0.527 2.709
```

Results
Symmetry = P4/mbm (127)

***

Verdict on stability: version 1 comes out on top.

***

Version 1
Here is an optimized crystal structure of SnSbTe3 from Alexandria via LeMat-Bulk. Energies are from PBE-GGA.

extended XYZ file:
```
10
Lattice="-3.608 -2.191 -0.870 3.960 -6.164 -0.900 -4.982 3.779 11.149" Properties=species:S:1:pos:R:3 pbc="T T T"
Te -1.849 -1.648 6.483
Te -2.781 -2.929 2.896
Te 1.003 -4.915 2.882
Te -5.633 0.338 6.498
Sb -1.459 -0.444 1.832
Sb -3.171 -4.133 7.547
Te -4.707 -2.505 9.817
Te 0.077 -2.072 -0.438
Sn -1.264 -4.639 0.909
Sn -3.367 0.062 8.470
```

Results
Symmetry = P2_1/m (11)

***

Version 2
Here is an optimized crystal structure of SnSbTe3 from Alexandria via LeMat-Bulk. Energies are from PBE-GGA.

extended XYZ file:
```
10
Lattice="6.663 0.000 3.732 2.286 6.258 3.732 -0.309 -0.216 8.365" Properties=species:S:1:pos:R:3 pbc="T T T"
Sb 5.700 3.986 13.265
Te 4.514 4.372 10.546
Te 4.784 0.355 9.124
Te 1.379 2.740 8.151
Sn 1.134 0.793 5.790
Te 7.261 3.303 7.678
Te 3.856 5.687 6.705
Sb 2.941 2.056 2.564
Te 4.127 1.671 5.283
Sn 7.507 5.249 10.039
```

Results
Symmetry = R-3 (148)

***

Version 3
Here is an optimized crystal structure of SnSbTe3 from Alexandria via LeMat-Bulk. Energies are from PBE-GGA.

extended XYZ file:
```
5
Lattice="-0.879 -5.658 -0.008 4.104 -0.632 -3.942 3.895 -0.611 4.153" Properties=species:S:1:pos:R:3 pbc="T T T"
Te 1.947 -0.305 2.076
Sb 0.000 0.000 0.000
Te -0.439 -2.829 -0.004
Sn 3.560 -3.450 0.101
Te 2.052 -0.316 -1.971
```

Results
Symmetry = Pm-3m (221)

***

Verdict on stability: version 1 comes out on top.